No. 1
! LiCeOsO6 (PBE-GGA, optimized geometry); values from VASP
&SYSTEM
  ibrav = 0, nat = 18, ntyp = 4
/
ATOMIC_SPECIES
Li 6.94 Li.upf
Ce 140.12 Ce.upf
Os 190.23 Os.upf
O 16.00 O.upf
CELL_PARAMETERS angstrom
4.903 0.000 0.000
0.000 4.903 0.000
0.000 0.000 9.794
ATOMIC_POSITIONS crystal
Li 0.000 0.000 0.000
Li 0.500 0.500 0.500
Ce 0.000 0.000 0.347
Ce 0.500 0.500 0.847
Os 0.000 0.000 0.676
Os 0.500 0.500 0.176
O 0.187 0.187 0.824
O 0.191 0.191 0.536
O 0.233 0.233 0.178
O 0.267 0.733 0.678
O 0.309 0.691 0.036
O 0.313 0.687 0.324
O 0.687 0.313 0.324
O 0.691 0.309 0.036
O 0.733 0.267 0.678
O 0.767 0.767 0.178
O 0.809 0.809 0.536
O 0.813 0.813 0.824
! - ΔE_f (raw) (eV/atom) = -1.87
! - V (Å³ per cell) = 235.43
! - total magnetization (μB per atom) = 0.116
! - mass density (g/cm3) = 6.1
! - symmetry = No. 102
! - final energy (eV per atom) = -7.30



No. 2
! Li2CeOsO8 (PBE-GGA, optimized geometry); values from VASP
&SYSTEM
  ibrav = 0, nat = 12, ntyp = 4
/
ATOMIC_SPECIES
Li 6.94 Li.upf
Ce 140.12 Ce.upf
Os 190.23 Os.upf
O 16.00 O.upf
CELL_PARAMETERS angstrom
4.676 0.000 0.000
0.000 6.532 0.000
-0.454 0.000 4.664
ATOMIC_POSITIONS crystal
Li 0.000 0.212 0.000
Li 0.000 0.788 0.000
Ce 0.500 0.500 0.500
Os 0.500 0.000 0.500
O 0.116 0.500 0.113
O 0.216 0.000 0.213
O 0.315 0.219 0.682
O 0.315 0.781 0.682
O 0.685 0.219 0.318
O 0.685 0.781 0.318
O 0.784 0.000 0.787
O 0.884 0.500 0.887
! - ΔE_f (raw) (eV/atom) = -1.57
! - V (Å³ per cell) = 142.48
! - total magnetization (μB per atom) = 0.007
! - mass density (g/cm3) = 5.5
! - symmetry = No. 10
! - final energy (eV per atom) = -6.63



No. 3
! LiCeP2O6 (PBE-GGA, optimized geometry); values from VASP
&SYSTEM
  ibrav = 0, nat = 10, ntyp = 4
/
ATOMIC_SPECIES
Li 6.94 Li.upf
Ce 140.12 Ce.upf
P 30.97 P.upf
O 16.00 O.upf
CELL_PARAMETERS angstrom
2.637 1.522 5.815
-2.637 1.522 5.815
0.000 -3.045 5.815
ATOMIC_POSITIONS crystal
Li 0.000 0.000 0.000
Ce 0.500 0.500 0.500
P 0.234 0.234 0.234
P 0.766 0.766 0.766
O 0.035 0.465 0.727
O 0.273 0.965 0.535
O 0.465 0.727 0.035
O 0.535 0.273 0.965
O 0.727 0.035 0.465
O 0.965 0.535 0.273
! - ΔE_f (raw) (eV/atom) = -2.14
! - V (Å³ per cell) = 140.06
! - total magnetization (μB per atom) = 0.258
! - mass density (g/cm3) = 3.6
! - symmetry = No. 148
! - final energy (eV per atom) = -6.99



Question: ΔE_f (raw) of number 2 (Li2CeOsO8)?
Answer: -1.57 eV/atom